No. 1
Material: AcSmB2O6
Method: DFT, PBE-GGA
State: relaxed

Unit cell a=6.506 b=6.506 c=6.701 alpha=102.53 beta=102.53 gamma=99.46
Fractional positions:
Ac 0.153 0.847 0.750
Ac 0.847 0.153 0.250
Sm 0.406 0.594 0.250
Sm 0.594 0.406 0.750
B 0.128 0.361 0.723
B 0.361 0.128 0.223
B 0.639 0.872 0.777
B 0.872 0.639 0.277
O 0.076 0.605 0.342
O 0.187 0.192 0.113
O 0.192 0.187 0.613
O 0.285 0.519 0.880
O 0.395 0.924 0.158
O 0.481 0.715 0.620
O 0.519 0.285 0.380
O 0.605 0.076 0.842
O 0.715 0.481 0.120
O 0.808 0.813 0.387
O 0.813 0.808 0.887
O 0.924 0.395 0.658

Values from the calculation:
Formation energy (no corrections) ... -3.076 eV per atom
Density ... 6.2 g cm⁻³

No. 2
Material: AcSm3B4O12
Method: DFT, PBE-GGA
State: relaxed

Unit cell a=6.694 b=6.694 c=6.694 alpha=101.78 beta=101.78 gamma=101.78
Fractional positions:
Ac 0.000 0.000 0.000
Sm 0.000 0.534 0.466
Sm 0.466 0.000 0.534
Sm 0.534 0.466 0.000
B 0.036 0.500 0.964
B 0.500 0.500 0.500
B 0.500 0.964 0.036
B 0.964 0.036 0.500
O 0.027 0.629 0.825
O 0.097 0.903 0.500
O 0.175 0.371 0.973
O 0.367 0.633 0.500
O 0.371 0.973 0.175
O 0.500 0.097 0.903
O 0.500 0.367 0.633
O 0.629 0.825 0.027
O 0.633 0.500 0.367
O 0.825 0.027 0.629
O 0.903 0.500 0.097
O 0.973 0.175 0.371

Values from the calculation:
Formation energy (no corrections) ... -3.048 eV per atom
Density ... 5.5 g cm⁻³

No. 3
Material: Ac3SnB4O12
Method: DFT, PBE-GGA
State: relaxed

Unit cell a=6.847 b=6.847 c=6.847 alpha=101.03 beta=101.03 gamma=101.03
Fractional positions:
Ac 0.000 0.512 0.488
Ac 0.488 0.000 0.512
Ac 0.512 0.488 0.000
Sn 0.000 0.000 0.000
B 0.011 0.500 0.989
B 0.500 0.500 0.500
B 0.500 0.989 0.011
B 0.989 0.011 0.500
O 0.026 0.644 0.869
O 0.118 0.882 0.500
O 0.131 0.356 0.974
O 0.356 0.974 0.131
O 0.370 0.630 0.500
O 0.500 0.118 0.882
O 0.500 0.370 0.630
O 0.630 0.500 0.370
O 0.644 0.869 0.026
O 0.869 0.026 0.644
O 0.882 0.500 0.118
O 0.974 0.131 0.356

Values from the calculation:
Formation energy (no corrections) ... -2.671 eV per atom
Density ... 5.7 g cm⁻³

No. 4
Material: SrAcBO4
Method: DFT, PBE-GGA
State: relaxed

Unit cell a=5.449 b=5.449 c=7.470 alpha=90.00 beta=90.00 gamma=118.81
Fractional positions:
Sr 0.000 0.000 0.000
Sr 0.000 0.000 0.500
Ac 0.314 0.686 0.750
Ac 0.686 0.314 0.250
B 0.348 0.652 0.250
B 0.652 0.348 0.750
O 0.225 0.335 0.250
O 0.255 0.745 0.088
O 0.255 0.745 0.412
O 0.335 0.225 0.750
O 0.665 0.775 0.250
O 0.745 0.255 0.588
O 0.745 0.255 0.912
O 0.775 0.665 0.750

Values from the calculation:
Formation energy (no corrections) ... -2.867 eV per atom
Density ... 6.7 g cm⁻³

No. 5
Material: SrAc2B2O7
Method: DFT, PBE-GGA
State: relaxed

Unit cell a=9.848 b=9.848 c=9.848 alpha=31.60 beta=31.60 gamma=31.60
Fractional positions:
Sr 0.000 0.000 0.000
Ac 0.421 0.421 0.421
Ac 0.579 0.579 0.579
B 0.271 0.271 0.271
B 0.729 0.729 0.729
O 0.122 0.122 0.568
O 0.122 0.568 0.122
O 0.432 0.878 0.878
O 0.500 0.500 0.500
O 0.568 0.122 0.122
O 0.878 0.432 0.878
O 0.878 0.878 0.432

Values from the calculation:
Formation energy (no corrections) ... -2.932 eV per atom
Density ... 4.8 g cm⁻³

No. 6
Material: SrAc2B2O6
Method: DFT, PBE-GGA
State: relaxed

Unit cell a=5.274 b=5.274 c=9.673 alpha=90.00 beta=90.00 gamma=120.00
Fractional positions:
Sr 0.000 0.000 0.000
Ac 0.333 0.667 0.300
Ac 0.667 0.333 0.700
B 0.333 0.667 0.828
B 0.667 0.333 0.172
O 0.081 0.687 0.828
O 0.313 0.394 0.828
O 0.394 0.081 0.172
O 0.606 0.919 0.828
O 0.687 0.606 0.172
O 0.919 0.313 0.172

Values from the calculation:
Formation energy (no corrections) ... -2.694 eV per atom
Density ... 4.7 g cm⁻³